# 1
This record from Alexandria describes a geometry-optimized W3AuI structure. The functional is PBE.

Unit cell a=4.939 b=4.939 c=4.939 alpha=90.00 beta=90.00 gamma=90.00
Space group Pm-3m (No. 221)
Symmetry-distinct sites (fractional):
W: 0.000 0.000 0.500 (multiplicity 3)
Au: 0.000 0.000 0.000 (multiplicity 1)
I: 0.500 0.500 0.500 (multiplicity 1)

Computed properties:
The calculation puts the magnetic moment at 0.00 μB per formula unit. The calculation puts the formation energy without anion corrections at 2.832 eV per atom.

***

# 2
This record from Alexandria describes a geometry-optimized WAuI3 structure. The functional is PBE.

Unit cell a=5.623 b=5.623 c=5.623 alpha=90.00 beta=90.00 gamma=90.00
Space group Pm-3m (No. 221)
Symmetry-distinct sites (fractional):
W: 0.000 0.000 0.000 (multiplicity 1)
Au: 0.500 0.500 0.500 (multiplicity 1)
I: 0.000 0.500 0.500 (multiplicity 3)

Computed properties:
The calculation puts the magnetic moment at 4.85 μB per formula unit. The calculation puts the formation energy without anion corrections at 1.381 eV per atom.

***

# 3
This record from Alexandria describes a geometry-optimized WAu2I structure. The functional is PBE.

Unit cell a=8.007 b=8.007 c=5.660 alpha=90.00 beta=90.00 gamma=90.00
Space group I-42d (No. 122)
Symmetry-distinct sites (fractional):
W: 0.000 0.000 0.000 (multiplicity 4)
Au: 0.215 0.250 0.125 (multiplicity 8)
I: 0.000 0.000 0.500 (multiplicity 4)

Computed properties:
The calculation puts the magnetic moment at 2.61 μB per formula unit. The calculation puts the formation energy without anion corrections at 1.009 eV per atom.

***

> The lowest formation energy without anion corrections belongs to which entry?

WAu2I

***

Repeat the third record exactly.
This record from Alexandria describes a geometry-optimized WAu2I structure. The functional is PBE.

Unit cell a=8.007 b=8.007 c=5.660 alpha=90.00 beta=90.00 gamma=90.00
Space group I-42d (No. 122)
Symmetry-distinct sites (fractional):
W: 0.000 0.000 0.000 (multiplicity 4)
Au: 0.215 0.250 0.125 (multiplicity 8)
I: 0.000 0.000 0.500 (multiplicity 4)

Computed properties:
The calculation puts the magnetic moment at 2.61 μB per formula unit. The calculation puts the formation energy without anion corrections at 1.009 eV per atom.